1.
# ReSi PBE-GGA optimized geometry
data_ReSi
_cell_length_a 2.952
_cell_length_b 4.801
_cell_length_c 12.357
_cell_angle_alpha 90.00
_cell_angle_beta 90.00
_cell_angle_gamma 90.00
_symmetry_space_group_name_H-M 'P 1'
_symmetry_Int_Tables_number 1
loop_
_symmetry_equiv_pos_as_xyz
'x,y,z'
loop_
_atom_site_label
_atom_site_fract_x
_atom_site_fract_y
_atom_site_fract_z
Re1 0.000 0.144 0.662
Re2 0.500 0.856 0.838
Re3 0.500 0.856 0.162
Re4 0.000 0.144 0.338
Re5 0.000 0.607 0.500
Re6 0.500 0.393 0.000
Si1 0.000 0.649 0.698
Si2 0.500 0.351 0.802
Si3 0.500 0.351 0.198
Si4 0.000 0.649 0.302
Si5 0.000 0.948 0.000
Si6 0.500 0.052 0.500
# Total energy ... -106.958 eV/cell
# Fermi-level density of states ... 7.3 states/eV per cell
# Symmetry ... Pmmn (59)
# Energy relative to the elements, uncorrected ... 0.04 eV per formula unit
# Magnetic moment ... 0.00 Bohr magnetons per cell


2.
# Cd7In2Hg3 PBE-GGA optimized geometry
data_Cd7In2Hg3
_cell_length_a 3.330
_cell_length_b 5.271
_cell_length_c 17.919
_cell_angle_alpha 69.53
_cell_angle_beta 90.00
_cell_angle_gamma 90.00
_symmetry_space_group_name_H-M 'P 1'
_symmetry_Int_Tables_number 1
loop_
_symmetry_equiv_pos_as_xyz
'x,y,z'
loop_
_atom_site_label
_atom_site_fract_x
_atom_site_fract_y
_atom_site_fract_z
Cd1 0.500 0.791 0.465
Cd2 0.500 0.209 0.535
Cd3 0.000 0.513 0.163
Cd4 0.000 0.000 0.000
Cd5 0.000 0.487 0.837
Cd6 0.500 0.992 0.843
Cd7 0.500 0.008 0.157
In1 0.500 0.450 0.343
In2 0.500 0.550 0.657
Hg1 0.500 0.500 0.000
Hg2 0.000 0.991 0.309
Hg3 0.000 0.009 0.691
# Total energy ... -12.390 eV/cell
# Fermi-level density of states ... 3.1 states/eV per cell
# Symmetry ... P2/m (10)
# DFT formation energy ... 0.40 eV per formula unit
# Offset from the most stable computed form ... 0.0 kJ/mol of atoms
# Magnetic moment ... 0.00 Bohr magnetons per cell


3.
# Y3TaGa PBE-GGA optimized geometry
data_Y3TaGa
_cell_length_a 5.364
_cell_length_b 5.364
_cell_length_c 5.364
_cell_angle_alpha 90.00
_cell_angle_beta 90.00
_cell_angle_gamma 90.00
_symmetry_space_group_name_H-M 'P 1'
_symmetry_Int_Tables_number 1
loop_
_symmetry_equiv_pos_as_xyz
'x,y,z'
loop_
_atom_site_label
_atom_site_fract_x
_atom_site_fract_y
_atom_site_fract_z
Y1 0.000 0.500 0.000
Y2 0.000 0.000 0.500
Y3 0.500 0.000 0.000
Ga1 0.000 0.000 0.000
Ta1 0.500 0.500 0.500
# Total energy ... -30.603 eV/cell
# Fermi-level density of states ... 5.8 states/eV per cell
# Symmetry ... Pm-3m (221)
# DFT formation energy ... 3.67 eV per formula unit
# Offset from the most stable computed form ... 5.1 kJ/mol of atoms
# Magnetic moment ... 4.10 Bohr magnetons per cell


4.
# TbAlV PBE-GGA optimized geometry
data_TbAlV
_cell_length_a 3.109
_cell_length_b 3.109
_cell_length_c 6.497
_cell_angle_alpha 103.84
_cell_angle_beta 103.84
_cell_angle_gamma 90.00
_symmetry_space_group_name_H-M 'P 1'
_symmetry_Int_Tables_number 1
loop_
_symmetry_equiv_pos_as_xyz
'x,y,z'
loop_
_atom_site_label
_atom_site_fract_x
_atom_site_fract_y
_atom_site_fract_z
Tb1 0.288 0.288 0.576
Al1 0.596 0.596 0.192
V1 0.966 0.966 0.932
# Total energy ... -17.111 eV/cell
# Fermi-level density of states ... 4.4 states/eV per cell
# Symmetry ... I4mm (107)
# DFT formation energy ... 0.38 eV per formula unit
# Offset from the most stable computed form ... 20.1 kJ/mol of atoms
# Magnetic moment ... 0.00 Bohr magnetons per cell


5.
# TaTi2F PBE-GGA optimized geometry
data_TaTi2F
_cell_length_a 6.321
_cell_length_b 6.321
_cell_length_c 5.512
_cell_angle_alpha 55.02
_cell_angle_beta 55.02
_cell_angle_gamma 90.00
_symmetry_space_group_name_H-M 'P 1'
_symmetry_Int_Tables_number 1
loop_
_symmetry_equiv_pos_as_xyz
'x,y,z'
loop_
_atom_site_label
_atom_site_fract_x
_atom_site_fract_y
_atom_site_fract_z
F1 0.500 0.500 0.000
F2 0.250 0.750 0.500
Ti1 0.540 0.125 0.250
Ti2 0.210 0.625 0.250
Ti3 0.375 0.460 0.750
Ti4 0.875 0.790 0.750
Ta1 0.000 0.000 0.000
Ta2 0.750 0.250 0.500
# Total energy ... -62.284 eV/cell
# Fermi-level density of states ... 5.8 states/eV per cell
# Symmetry ... I-42d (122)
# Energy relative to the elements, uncorrected ... -1.63 eV per formula unit
# Offset from the most stable computed form ... 0.0 kJ/mol of atoms
# Magnetic moment ... 0.00 Bohr magnetons per cell


6.
# Be2CrSi PBE-GGA optimized geometry
data_Be2CrSi
_cell_length_a 4.653
_cell_length_b 4.653
_cell_length_c 2.416
_cell_angle_alpha 77.33
_cell_angle_beta 77.33
_cell_angle_gamma 118.90
_symmetry_space_group_name_H-M 'P 1'
_symmetry_Int_Tables_number 1
loop_
_symmetry_equiv_pos_as_xyz
'x,y,z'
loop_
_atom_site_label
_atom_site_fract_x
_atom_site_fract_y
_atom_site_fract_z
Cr1 0.500 0.000 0.500
Si1 0.000 0.500 0.500
Be1 0.000 0.000 0.000
Be2 0.500 0.500 0.000
# Total energy ... -22.275 eV/cell
# Fermi-level density of states ... 1.9 states/eV per cell
# Symmetry ... C2/m (12)
# Energy relative to the elements, uncorrected ... 0.22 eV per formula unit
# Magnetic moment ... 0.00 Bohr magnetons per cell